Rb3MnZn2F9: optimized geometry, GGA+U.

a b c (Å): 5.977 5.977 7.323
angles (deg): 90.00 90.00 120.00
Sites, in units of the cell vectors:
1 Rb 0.000 0.000 0.000
2 Rb 0.333 0.667 0.668
3 Rb 0.667 0.333 0.332
4 Mn 0.000 0.000 0.500
5 Zn 0.333 0.667 0.164
6 Zn 0.667 0.333 0.836
7 F 0.000 0.500 0.000
8 F 0.170 0.339 0.329
9 F 0.170 0.830 0.329
10 F 0.339 0.170 0.671
11 F 0.500 0.000 0.000
12 F 0.500 0.500 0.000
13 F 0.661 0.830 0.329
14 F 0.830 0.170 0.671
15 F 0.830 0.661 0.671

calculated density	4.49	g cm⁻³
raw total energy	-69.0	eV/f.u.